Record 1
Material: ZrGe2PtC
Method: DFT, PBE-GGA
State: relaxed

Unit cell a=5.2601 b=4.0939 c=5.2601 alpha=90.00 beta=90.00 gamma=90.00
Closest atoms and distances in Å follow each position.
Positions (direct):
1 Pt 0.5000 0.5000 0.5000  8 Ge 3.33, 4 C 3.72
2 Zr 0.0000 0.0000 0.0000  2 C 2.05
3 Ge 0.5000 0.0000 0.0000  2 Zr 2.63
4 Ge 0.0000 0.0000 0.5000  2 Zr 2.63
5 C 0.0000 0.5000 0.0000  2 Zr 2.05

## Properties
The space group is P4/mmm, No. 123. The density of states at the Fermi level comes out at 5.359 states/eV/f.u. As for the energy relative to the elements: 31.28 kcal/mol of atoms.

***

Record 2
Material: Pu6Ge2C
Method: DFT, PBE-GGA
State: relaxed

Unit cell a=6.3671 b=6.3671 c=9.0549 alpha=90.00 beta=90.00 gamma=90.00
Closest atoms and distances in Å follow each position.
Positions (direct):
1 Ge 0.0000 0.5000 0.2500  12 Pu 3.18-3.19
2 Ge 0.5000 0.0000 0.2500  12 Pu 3.18-3.19
3 Ge 0.5000 0.0000 0.7500  12 Pu 3.18-3.19
4 Ge 0.0000 0.5000 0.7500  12 Pu 3.18-3.19
5 Pu 0.0000 0.0000 0.7583  1 C 2.34
6 Pu 0.7421 0.7421 0.5000  1 C 2.32
7 Pu 0.2611 0.7388 0.5000  1 C 2.35
8 Pu 0.2421 0.7579 0.0000  1 C 2.32
9 Pu 0.7389 0.2612 0.5000  1 C 2.35
10 Pu 0.7579 0.2421 0.0000  1 C 2.32
11 Pu 0.2389 0.2388 0.0000  1 C 2.35
12 Pu 0.7611 0.7612 0.0000  1 C 2.35
13 Pu 0.5000 0.5000 0.2583  1 C 2.34
14 Pu 0.5000 0.5000 0.7417  1 C 2.34
15 Pu 0.0000 0.0000 0.2417  1 C 2.34
16 Pu 0.2579 0.2579 0.5000  1 C 2.32
17 C 0.0000 0.0000 0.5000  6 Pu 2.32-2.35
18 C 0.5000 0.5000 0.0000  6 Pu 2.32-2.35

## Properties
The space group is P4_2/mnm, No. 136. The density of states at the Fermi level comes out at 30.707 states/eV/f.u. As for the energy relative to the elements: -4.95 kcal/mol of atoms.

***

Record 3
Material: Pu8Ge2C
Method: DFT, PBE-GGA
State: relaxed

Unit cell a=3.9288 b=6.0909 c=9.4329 alpha=102.74 beta=102.02 gamma=90.00
Closest atoms and distances in Å follow each position.
Positions (direct):
1 C 0.5000 0.0000 0.0000  8 Pu 2.44-2.72
2 Pu 0.6403 0.0980 0.2806  3 Pu 2.51-2.56, 1 C 2.52
3 Pu 0.2184 0.2658 0.4369  2 Pu 2.51
4 Pu 0.3597 0.9020 0.7194  3 Pu 2.51-2.56, 1 C 2.52
5 Pu 0.5791 0.4356 0.1582  3 Pu 2.54-2.56, 1 C 2.72
6 Pu 0.4209 0.5644 0.8418  3 Pu 2.54-2.56, 1 C 2.72
7 Pu 0.0046 0.2400 0.0092  2 C 2.44, 2 Pu 2.54
8 Pu 0.7816 0.7342 0.5631  2 Pu 2.51
9 Pu 0.9954 0.7600 0.9908  2 C 2.44, 2 Pu 2.54
10 Ge 0.8360 0.2417 0.6719  8 Pu 2.95-3.11
11 Ge 0.1640 0.7583 0.3281  8 Pu 2.95-3.11

## Properties
The space group is C2/m, No. 12. The density of states at the Fermi level comes out at 28.361 states/eV/f.u. As for the energy relative to the elements: -2.20 kcal/mol of atoms.

***

Record 4
Material: Pu3Ge2C
Method: DFT, PBE-GGA
State: relaxed

Unit cell a=3.9494 b=4.5307 c=8.2063 alpha=106.02 beta=103.92 gamma=90.00
Closest atoms and distances in Å follow each position.
Positions (direct):
1 Ge 0.3484 0.3484 0.6969  7 Pu 2.97-3.04
2 Ge 0.6516 0.6516 0.3031  7 Pu 2.97-3.04
3 Pu 0.8459 0.8459 0.6918  1 C 2.35
4 Pu 0.0000 0.5000 0.0000  2 C 2.27
5 Pu 0.1541 0.1541 0.3082  1 C 2.35
6 C 0.0000 0.0000 0.0000  4 Pu 2.27-2.35

## Properties
The space group is Immm, No. 71. The density of states at the Fermi level comes out at 22.946 states/eV/f.u. As for the energy relative to the elements: 1.60 kcal/mol of atoms.

***

Record 5
Material: Pu5Ge3C
Method: DFT, PBE-GGA
State: relaxed

Unit cell a=5.8798 b=8.7056 c=8.7056 alpha=120.00 beta=90.00 gamma=90.00
Closest atoms and distances in Å follow each position.
Positions (direct):
1 Pu 0.7500 0.0000 0.7736  2 C 2.46
2 Pu 0.2500 0.7736 0.7736  2 C 2.46
3 Pu 0.5000 0.6667 0.3333  2 Pu 2.94, 6 Ge 3.04
4 Pu 0.0000 0.6667 0.3333  2 Pu 2.94, 6 Ge 3.04
5 Pu 0.2500 0.0000 0.2264  2 C 2.46
6 Pu 0.7500 0.2264 0.2264  2 C 2.46
7 Pu 0.5000 0.3333 0.6667  2 Pu 2.94, 6 Ge 3.04
8 Pu 0.0000 0.3333 0.6667  2 Pu 2.94, 6 Ge 3.04
9 Pu 0.7500 0.7736 0.0000  2 C 2.46
10 Pu 0.2500 0.2264 0.0000  2 C 2.46
11 Ge 0.2500 0.3982 0.3982  9 Pu 3.01-3.30
12 Ge 0.2500 0.6018 0.0000  9 Pu 3.01-3.30
13 Ge 0.7500 0.3982 0.0000  9 Pu 3.01-3.30
14 Ge 0.7500 0.0000 0.3982  9 Pu 3.01-3.30
15 Ge 0.7500 0.6018 0.6018  9 Pu 3.01-3.30
16 Ge 0.2500 0.0000 0.6018  9 Pu 3.01-3.30
17 C 0.0000 0.0000 0.0000  6 Pu 2.46
18 C 0.5000 0.0000 0.0000  6 Pu 2.46

## Properties
The space group is P6_3/mcm, No. 193. The density of states at the Fermi level comes out at 32.231 states/eV/f.u. As for the energy relative to the elements: -7.84 kcal/mol of atoms.

***

Record 6
Material: PuGeC
Method: DFT, PBE-GGA
State: relaxed

Unit cell a=3.4591 b=4.8106 c=6.6423 alpha=90.00 beta=105.09 gamma=90.00
Closest atoms and distances in Å follow each position.
Positions (direct):
1 C 0.4294 0.7500 0.8588  2 Ge 2.05, 1 Pu 2.30
2 C 0.5706 0.2500 0.1412  2 Ge 2.05, 1 Pu 2.30
3 Pu 0.3915 0.2500 0.7830  3 C 2.30-2.45
4 Pu 0.6085 0.7500 0.2170  3 C 2.30-2.45
5 Ge 0.1567 0.2500 0.3133  2 C 2.05
6 Ge 0.8433 0.7500 0.6867  2 C 2.05

## Properties
The space group is Cmcm, No. 63. The density of states at the Fermi level comes out at 7.586 states/eV/f.u. As for the energy relative to the elements: 4.96 kcal/mol of atoms.

***

Record 7
Material: Pu4Ge2C
Method: DFT, PBE-GGA
State: relaxed

Unit cell a=4.6155 b=4.6155 c=8.3191 alpha=106.11 beta=106.11 gamma=90.00
Closest atoms and distances in Å follow each position.
Positions (direct):
1 Ge 0.6345 0.6345 0.2690  9 Pu 2.98-3.31
2 Ge 0.3655 0.3655 0.7310  9 Pu 2.98-3.31
3 Pu 0.8292 0.8292 0.6583  1 C 2.61
4 Pu 0.5000 0.0000 0.0000  2 C 2.31
5 Pu 0.1708 0.1708 0.3417  1 C 2.61
6 Pu 0.0000 0.5000 0.0000  2 C 2.31
7 C 0.0000 0.0000 0.0000  4 Pu 2.31

## Properties
The space group is I4/mmm, No. 139. The density of states at the Fermi level comes out at 27.879 states/eV/f.u. As for the energy relative to the elements: -4.78 kcal/mol of atoms.

***

Record 8
Material: Pu4GeC2
Method: DFT, PBE-GGA
State: relaxed

Unit cell a=3.4713 b=6.7375 c=11.6429 alpha=90.00 beta=90.00 gamma=104.93
Closest atoms and distances in Å follow each position.
Positions (direct):
1 Pu 0.0490 0.0981 0.2500  2 C 2.31
2 Pu 0.2477 0.4954 0.5684  3 C 2.30-2.45, 2 Pu 2.36
3 Pu 0.5000 0.0000 0.5000  4 C 2.46
4 Pu 0.7523 0.5046 0.4316  3 C 2.30-2.45, 2 Pu 2.36
5 Pu 0.9510 0.9019 0.7500  2 C 2.31
6 Pu 0.5000 0.0000 0.0000  4 C 2.46
7 Pu 0.7523 0.5046 0.0684  3 C 2.30-2.45, 2 Pu 2.36
8 Pu 0.2477 0.4954 0.9316  3 C 2.30-2.45, 2 Pu 2.36
9 Ge 0.6464 0.2927 0.7500  6 Pu 3.04-3.08
10 Ge 0.3536 0.7073 0.2500  6 Pu 3.04-3.08
11 C 0.8803 0.7606 0.9317  6 Pu 2.30-2.46
12 C 0.1197 0.2394 0.4317  6 Pu 2.30-2.46
13 C 0.8803 0.7606 0.5683  6 Pu 2.30-2.46
14 C 0.1197 0.2394 0.0683  6 Pu 2.30-2.46

## Properties
The space group is Cmcm, No. 63. The density of states at the Fermi level comes out at 19.602 states/eV/f.u. As for the energy relative to the elements: 2.96 kcal/mol of atoms.